DFT (GGA-PBE) results for Ce2PmTmBi4 after structural relaxation.

Cell: 7.8846 4.5529 7.8936 Å, 90.00 109.47 90.00°
Last column: nearest neighbours and their distance in Å.
Element x y z (fractional)
1 Ce 0.0000 0.0000 0.0000  6 Bi 3.27
2 Ce 0.5000 0.5000 0.0000  6 Bi 3.22
3 Pm 0.0000 0.5000 0.5000  6 Bi 3.22
4 Tm 0.5000 0.0000 0.5000  6 Bi 3.18
5 Bi 0.2538 0.0000 0.7468  1 Tm 3.18, 3 Ce 3.22-3.27, 2 Pm 3.22
6 Bi 0.2571 0.5000 0.2568  2 Tm 3.18, 3 Ce 3.22-3.27, 1 Pm 3.22
7 Bi 0.7429 0.5000 0.7432  2 Tm 3.18, 3 Ce 3.22-3.27, 1 Pm 3.22
8 Bi 0.7462 0.0000 0.2532  1 Tm 3.18, 3 Ce 3.22-3.27, 2 Pm 3.22

- space-group type = P2/m (10)
- DOS(E_F) (states/eV per cell) = 14.8
- electronic total energy (Ry/atom) = -0.3969
- energy relative to the elements (meV per atom) = -823
- theoretical density (g cm⁻³) = 8.9